[1]
Crystalline Tb2SmAl7Ag2 at its relaxed geometry. Source: OQMD via LeMat-Bulk, functional PBE-GGA.

POSCAR file:
```
Tb2SmAl7Ag2
1.0
5.575 7.028 2.759
6.590 6.135 -2.650
2.114 9.077 -1.103
Sm Al Tb Ag
1 7 2 2
direct
0.000 0.000 0.000
0.588 0.588 0.076
0.076 0.588 0.588
0.412 0.412 0.924
0.500 0.500 0.500
0.588 0.076 0.588
0.924 0.412 0.412
0.412 0.924 0.412
0.142 0.142 0.142
0.858 0.858 0.858
0.336 0.336 0.336
0.664 0.664 0.664
```

Calculated values
For the size of the total moment, the calculation gives 0.00 μB/cell. Its total energy is -4.2917 eV/atom.

***

[2]
Crystalline DyY3Sc2CuTe2 at its relaxed geometry. Source: OQMD via LeMat-Bulk, functional PBE-GGA.

POSCAR file:
```
DyY3Sc2CuTe2
1.0
3.963 0.000 0.000
0.000 7.129 4.048
0.000 -7.129 4.048
Cu Y Sc Te Dy
1 3 2 2 1
direct
0.000 0.017 0.017
0.000 0.392 0.392
0.000 0.001 0.598
0.000 0.598 0.001
0.500 0.239 0.997
0.500 0.997 0.239
0.500 0.666 0.328
0.500 0.328 0.666
0.500 0.762 0.762
```

Calculated values
For the size of the total moment, the calculation gives 0.08 μB/cell. Its total energy is -5.8518 eV/atom.

***

[3]
Crystalline BaTcBi at its relaxed geometry. Source: OQMD via LeMat-Bulk, functional PBE-GGA.

POSCAR file:
```
BaTcBi
1.0
-1.041 -4.885 0.023
-4.680 -1.552 0.796
-2.634 -2.010 -3.737
Ba Bi Tc
1 1 1
direct
0.500 0.500 0.500
0.000 0.000 0.000
0.250 0.250 0.250
```

Calculated values
For the size of the total moment, the calculation gives 0.01 μB/cell. Its total energy is -4.9014 eV/atom.

***

[4]
Crystalline Cu15Sb at its relaxed geometry. Source: OQMD via LeMat-Bulk, functional PBE-GGA.

POSCAR file:
```
Cu15Sb
1.0
5.101 0.000 0.000
0.000 2.641 0.000
-0.026 0.000 40.924
Cu Sb
30 2
direct
0.124 0.750 0.192
0.125 0.750 0.107
0.875 0.250 0.979
0.625 0.750 0.936
0.875 0.250 0.319
0.375 0.250 0.064
0.125 0.750 0.936
0.619 0.750 0.278
0.876 0.250 0.808
0.875 0.250 0.235
0.875 0.250 0.064
0.626 0.750 0.192
0.381 0.250 0.722
0.869 0.250 0.722
0.125 0.750 0.681
0.625 0.750 0.850
0.625 0.750 0.766
0.875 0.250 0.150
0.125 0.750 0.765
0.625 0.750 0.021
0.375 0.250 0.979
0.374 0.250 0.808
0.875 0.250 0.893
0.131 0.750 0.278
0.375 0.250 0.234
0.375 0.250 0.150
0.125 0.750 0.850
0.125 0.750 0.021
0.625 0.750 0.107
0.375 0.250 0.893
0.375 0.250 0.335
0.625 0.750 0.665
```

Calculated values
Its distance to the lowest polymorph of the same formula is 42 meV/atom.

***

[5]
Crystalline HoRe2 at its relaxed geometry. Source: OQMD via LeMat-Bulk, functional PBE-GGA.

POSCAR file:
```
HoRe2
1.0
-1.691 -3.362 3.865
-3.934 1.519 3.365
-4.878 -2.278 -0.350
Re Ho
4 2
direct
0.625 0.125 0.625
0.625 0.625 0.125
0.625 0.625 0.625
0.125 0.625 0.625
0.000 0.000 0.000
0.250 0.250 0.250
```

Calculated values
For the size of the total moment, the calculation gives 0.00 μB/cell. The energy relative to the elements is -0.206 eV per atom.

***

[6]
Crystalline KNpTl at its relaxed geometry. Source: OQMD via LeMat-Bulk, functional PBE-GGA.

POSCAR file:
```
KNpTl
1.0
0.000 3.905 3.905
3.905 0.000 3.905
3.905 3.905 0.000
Np Tl K
1 1 1
direct
0.750 0.750 0.750
0.000 0.000 0.000
0.250 0.250 0.250
```

Calculated values
For the size of the total moment, the calculation gives 5.01 μB/cell. Its distance to the lowest polymorph of the same formula is 0 meV/atom.

***

[7]
Crystalline Y2TaGa at its relaxed geometry. Source: OQMD via LeMat-Bulk, functional PBE-GGA.

POSCAR file:
```
Y2TaGa
1.0
0.000 3.541 3.541
3.541 0.000 3.541
3.541 3.541 0.000
Y Ga Ta
2 1 1
direct
0.000 0.000 0.000
0.750 0.750 0.750
0.500 0.500 0.500
0.250 0.250 0.250
```

Calculated values
For the size of the total moment, the calculation gives 0.00 μB/cell. Its total energy is -6.7226 eV/atom.

***

[8]
Crystalline Li3ZrO4 at its relaxed geometry. Source: OQMD via LeMat-Bulk, functional PBE-GGA.

POSCAR file:
```
Li3ZrO4
1.0
5.138 0.000 0.000
0.000 12.141 0.000
-1.694 0.000 4.998
Li O Zr
12 16 4
direct
0.000 0.139 0.500
0.000 0.499 0.000
0.000 0.379 0.500
0.500 0.022 0.500
0.500 0.258 0.500
0.500 0.871 0.000
0.000 0.605 0.500
0.500 0.612 0.000
0.500 0.135 0.000
0.500 0.497 0.500
0.500 0.724 0.500
0.500 0.384 0.000
0.759 0.749 0.251
0.249 0.259 0.753
0.768 0.874 0.763
0.243 0.493 0.755
0.240 0.131 0.234
0.748 0.380 0.746
0.759 0.996 0.254
0.241 0.996 0.746
0.232 0.874 0.237
0.751 0.259 0.247
0.757 0.493 0.245
0.760 0.131 0.766
0.253 0.619 0.247
0.747 0.619 0.753
0.252 0.380 0.254
0.241 0.749 0.749
0.000 0.010 0.000
0.000 0.724 0.000
0.000 0.270 0.000
0.000 0.871 0.500
```

Calculated values
For the size of the total moment, the calculation gives 4.01 μB/cell. Its total energy is -6.4832 eV/atom.

***

[9]
Crystalline Dy3N2O at its relaxed geometry. Source: OQMD via LeMat-Bulk, functional PBE-GGA.

POSCAR file:
```
Dy3N2O
1.0
-1.880 -2.590 1.235
3.317 -0.483 -0.725
2.047 2.261 7.856
Dy N O
3 2 1
direct
0.000 0.000 0.000
0.667 0.333 0.324
0.333 0.667 0.676
0.333 0.667 0.175
0.667 0.333 0.825
0.000 0.000 0.500
```

Calculated values
For the size of the total moment, the calculation gives 0.00 μB/cell. Its total energy is -8.0789 eV/atom.

***

[10]
Crystalline LaPmNO at its relaxed geometry. Source: OQMD via LeMat-Bulk, functional PBE-GGA.

POSCAR file:
```
LaPmNO
1.0
-2.083 -3.608 0.000
0.000 0.000 5.179
-6.226 3.595 0.000
O Pm N La
2 2 2 2
direct
0.500 0.939 0.817
0.500 0.439 0.183
0.000 0.938 0.665
0.000 0.438 0.335
0.000 0.438 0.661
0.000 0.938 0.339
0.500 0.938 0.167
0.500 0.438 0.833
```

Calculated values
For the size of the total moment, the calculation gives 0.46 μB/cell. Its distance to the lowest polymorph of the same formula is 0 meV/atom.

***

[11]
Crystalline RbSmNiTe3 at its relaxed geometry. Source: OQMD via LeMat-Bulk, functional PBE-GGA.

POSCAR file:
```
RbSmNiTe3
1.0
10.854 0.000 0.000
0.000 2.138 8.787
0.000 -2.138 8.787
Te Rb Sm Ni
6 2 2 2
direct
0.500 0.921 0.921
0.658 0.616 0.616
0.158 0.384 0.384
0.842 0.384 0.384
0.000 0.079 0.079
0.342 0.616 0.616
0.000 0.744 0.744
0.500 0.256 0.256
0.750 0.000 0.000
0.250 0.000 0.000
0.500 0.509 0.509
0.000 0.491 0.491
```

Calculated values
For the size of the total moment, the calculation gives 0.01 μB/cell. Its total energy is -4.3363 eV/atom.

***

[12]
Crystalline ZrBeFeB at its relaxed geometry. Source: OQMD via LeMat-Bulk, functional PBE-GGA.

POSCAR file:
```
ZrBeFeB
1.0
1.440 -3.521 -1.289
1.817 -2.490 2.575
-1.796 -3.424 1.089
B Fe Zr Be
1 1 1 1
direct
0.000 0.000 0.000
0.750 0.750 0.750
0.500 0.500 0.500
0.250 0.250 0.250
```

Calculated values
For the size of the total moment, the calculation gives 0.87 μB/cell. Its distance to the lowest polymorph of the same formula is 313 meV/atom.

***

[13]
Crystalline NiBAu at its relaxed geometry. Source: OQMD via LeMat-Bulk, functional PBE-GGA.

POSCAR file:
```
NiBAu
1.0
0.000 2.748 2.748
2.748 0.000 2.748
2.748 2.748 0.000
Ni Au B
1 1 1
direct
0.000 0.000 0.000
0.250 0.250 0.250
0.750 0.750 0.750
```

Calculated values
For the size of the total moment, the calculation gives 0.00 μB/cell. Its total energy is -4.2626 eV/atom.

***

[14]
Crystalline CsNbAgSe2S at its relaxed geometry. Source: OQMD via LeMat-Bulk, functional PBE-GGA.

POSCAR file:
```
CsNbAgSe2S
1.0
1.937 -8.123 0.000
1.937 8.123 0.000
0.000 0.000 10.123
Nb Se S Cs Ag
2 4 2 2 2
direct
0.000 0.000 0.000
0.000 0.000 0.500
0.386 0.614 0.028
0.614 0.386 0.528
0.386 0.614 0.472
0.614 0.386 0.972
0.943 0.057 0.750
0.057 0.943 0.250
0.747 0.253 0.250
0.253 0.747 0.750
0.460 0.540 0.250
0.540 0.460 0.750
```

Calculated values
For the size of the total moment, the calculation gives 1.79 μB/cell. Its total energy is -4.8081 eV/atom.

***

[15]
Crystalline Sm4OsI5 at its relaxed geometry. Source: OQMD via LeMat-Bulk, functional PBE-GGA.

POSCAR file:
```
Sm4OsI5
1.0
9.795 -2.118 0.000
9.795 2.118 0.000
-2.103 0.000 8.941
Sm Os I
4 1 5
direct
0.640 0.640 0.073
0.360 0.360 0.927
0.000 0.000 0.208
0.000 0.000 0.792
0.500 0.500 0.000
0.500 0.500 0.500
0.174 0.174 0.833
0.826 0.826 0.167
0.832 0.832 0.661
0.168 0.168 0.339
```

Calculated values
For the size of the total moment, the calculation gives 0.37 μB/cell. Its total energy is -4.8394 eV/atom.

***

[16]
Crystalline Sr2Pt at its relaxed geometry. Source: OQMD via LeMat-Bulk, functional PBE-GGA.

POSCAR file:
```
Sr2Pt
1.0
0.000 4.421 4.421
4.421 0.000 4.421
4.421 4.421 0.000
Sr Pt
4 2
direct
0.625 0.125 0.625
0.625 0.625 0.125
0.625 0.625 0.625
0.125 0.625 0.625
0.250 0.250 0.250
0.000 0.000 0.000
```

Calculated values
For the size of the total moment, the calculation gives 0.01 μB/cell. Its total energy is -2.5266 eV/atom.

***

[17]
Crystalline HoHO2 at its relaxed geometry. Source: OQMD via LeMat-Bulk, functional PBE-GGA.

POSCAR file:
```
HoHO2
1.0
-2.138 1.436 2.293
-0.920 -4.309 1.840
4.106 0.598 3.454
H Ho O
2 2 4
direct
0.500 0.301 0.479
0.000 0.699 0.979
0.000 0.774 0.497
0.500 0.226 0.997
0.000 0.522 0.870
0.500 0.019 0.635
0.500 0.478 0.370
0.000 0.981 0.135
```

Calculated values
For the size of the total moment, the calculation gives 0.00 μB/cell. Its total energy is -7.1091 eV/atom.

***

[18]
Crystalline ErScCSe at its relaxed geometry. Source: OQMD via LeMat-Bulk, functional PBE-GGA.

POSCAR file:
```
ErScCSe
1.0
3.618 0.000 0.000
-1.809 3.133 0.000
0.000 0.000 12.736
Se Er C Sc
2 2 2 2
direct
0.667 0.333 0.262
0.333 0.667 0.738
0.333 0.667 0.104
0.667 0.333 0.896
0.000 0.000 0.000
0.000 0.000 0.500
0.333 0.667 0.406
0.667 0.333 0.594
```

Calculated values
For the size of the total moment, the calculation gives 0.00 μB/cell. Its distance to the lowest polymorph of the same formula is 4 meV/atom.

***

[19]
Crystalline Hf3Al2Zn2 at its relaxed geometry. Source: OQMD via LeMat-Bulk, functional PBE-GGA.

POSCAR file:
```
Hf3Al2Zn2
1.0
-6.554 3.303 3.303
-3.303 3.303 6.554
-3.303 6.554 3.303
Hf Zn Al
3 2 2
direct
0.376 0.376 0.376
0.625 0.625 0.625
0.873 0.873 0.873
0.495 0.495 0.495
0.008 0.008 0.008
0.244 0.244 0.244
0.753 0.753 0.753
```

Calculated values
For the size of the total moment, the calculation gives 0.04 μB/cell. Its total energy is -5.7073 eV/atom.

***

[20]
Crystalline NdAl5CoIr at its relaxed geometry. Source: OQMD via LeMat-Bulk, functional PBE-GGA.

POSCAR file:
```
NdAl5CoIr
1.0
-3.450 3.646 3.970
2.655 5.705 -1.168
-3.543 -4.649 -2.606
Al Ir Nd Co
5 1 1 1
direct
0.037 0.340 0.697
0.343 0.659 0.684
0.644 0.340 0.303
0.007 0.007 0.000
0.975 0.659 0.316
0.762 0.762 0.000
0.493 0.993 0.500
0.239 0.239 0.000
```

Calculated values
For the size of the total moment, the calculation gives 0.00 μB/cell. Its total energy is -5.5585 eV/atom.